# PBE-GGA Nd6TeI8, optimized geometry
data_Nd6TeI8
_chemical_formula_sum 'Nd18 Te3 I24'
_cell_length_a 7.8259
_cell_length_b 7.8259
_cell_length_c 34.0821
_cell_angle_alpha 90.00
_cell_angle_beta 90.00
_cell_angle_gamma 120.00
_space_group_name_H-M_alt 'R -3'
_space_group_IT_number 148
_space_group_name_Hall '-R 3'
loop_
_atom_site_label
_atom_site_fract_x
_atom_site_fract_y
_atom_site_fract_z
Nd1 0.9999 0.3276 0.4509
Te1 0.0000 0.0000 0.5000
I1 0.0000 0.0000 0.1667
I2 0.9999 0.3341 0.6065
# **Raw total energy**: -4.125 eV/atom
# **Fermi-level density of states**: 3.01 states/eV/f.u.

# PBE-GGA Nd4Te3I4, optimized geometry
data_Nd4Te3I4
_chemical_formula_sum 'Nd8 Te6 I8'
_cell_length_a 4.048
_cell_length_b 9.380
_cell_length_c 19.233
_cell_angle_alpha 90.00
_cell_angle_beta 90.00
_cell_angle_gamma 90.00
_space_group_name_H-M_alt 'I m m m'
_space_group_IT_number 71
_space_group_name_Hall '-I 2 2'
loop_
_atom_site_label
_atom_site_fract_x
_atom_site_fract_y
_atom_site_fract_z
Nd1 0.000 0.000 0.229
Nd2 0.000 0.225 0.000
Te1 0.000 0.000 0.500
Te2 0.000 0.500 0.409
I1 0.000 0.314 0.169
# **Raw total energy**: -4.448 eV/atom
# **Fermi-level density of states**: 2.80 states/eV/f.u.

# PBE-GGA Nd2TeI3, optimized geometry
data_Nd2TeI3
_chemical_formula_sum 'Nd4 Te2 I6'
_cell_length_a 11.384
_cell_length_b 4.369
_cell_length_c 12.660
_cell_angle_alpha 90.00
_cell_angle_beta 112.66
_cell_angle_gamma 90.00
_space_group_name_H-M_alt 'P 1 21/m 1'
_space_group_IT_number 11
loop_
_space_group_symop_operation_xyz
'x,y,z'
'-x,-y,-z'
'-x,y+1/2,-z'
'x,-y+1/2,z'
loop_
_atom_site_label
_atom_site_fract_x
_atom_site_fract_y
_atom_site_fract_z
Nd1 0.030 0.250 0.336
Nd2 0.193 0.250 0.115
Te1 0.006 0.750 0.150
I1 0.157 0.250 0.615
I2 0.320 0.250 0.382
I3 0.362 0.750 0.065
# **Raw total energy**: -4.237 eV/atom
# **Fermi-level density of states**: 2.15 states/eV/f.u.
# **Distance to the lowest polymorph of the same formula**: 0 meV/atom

# PBE-GGA Nd2TeI3, optimized geometry
data_Nd2TeI3
_chemical_formula_sum 'Nd8 Te4 I12'
_cell_length_a 19.610
_cell_length_b 4.445
_cell_length_c 14.086
_cell_angle_alpha 90.00
_cell_angle_beta 126.10
_cell_angle_gamma 90.00
_space_group_name_H-M_alt 'C 1 2/m 1'
_space_group_IT_number 12
loop_
_space_group_symop_operation_xyz
'x,y,z'
'-x,-y,-z'
'-x,y,-z'
'x,-y,z'
'x+1/2,y+1/2,z'
'-x+1/2,-y+1/2,-z'
'-x+1/2,y+1/2,-z'
'x+1/2,-y+1/2,z'
loop_
_atom_site_label
_atom_site_fract_x
_atom_site_fract_y
_atom_site_fract_z
Nd1 0.105 0.000 0.438
Nd2 0.134 0.500 0.840
Te1 0.091 0.000 0.660
I1 0.052 0.500 0.236
I2 0.167 0.000 0.034
I3 0.241 0.500 0.610
# **Raw total energy**: -4.210 eV/atom
# **Fermi-level density of states**: 4.09 states/eV/f.u.
# **Distance to the lowest polymorph of the same formula**: 28 meV/atom

# PBE-GGA Nd4Te2I5, optimized geometry
data_Nd4Te2I5
_chemical_formula_sum 'Nd8 Te4 I10'
_cell_length_a 4.205
_cell_length_b 8.803
_cell_length_c 26.070
_cell_angle_alpha 90.00
_cell_angle_beta 90.00
_cell_angle_gamma 90.00
_space_group_name_H-M_alt 'I m m m'
_space_group_IT_number 71
_space_group_name_Hall '-I 2 2'
loop_
_atom_site_label
_atom_site_fract_x
_atom_site_fract_y
_atom_site_fract_z
Nd1 0.000 0.000 0.131
Nd2 0.000 0.296 0.500
Te1 0.000 0.000 0.240
I1 0.000 0.230 0.381
I2 0.000 0.500 0.000
# **Raw total energy**: -3.814 eV/atom
# **Fermi-level density of states**: 9.07 states/eV/f.u.

# PBE-GGA Nd3Te2I, optimized geometry
data_Nd3Te2I
_chemical_formula_sum 'Nd6 Te4 I2'
_cell_length_a 4.2727
_cell_length_b 4.2727
_cell_length_c 24.6040
_cell_angle_alpha 90.00
_cell_angle_beta 90.00
_cell_angle_gamma 120.00
_space_group_name_H-M_alt 'P 63/m m c'
_space_group_IT_number 194
_space_group_name_Hall '-P 6c 2c'
loop_
_atom_site_label
_atom_site_fract_x
_atom_site_fract_y
_atom_site_fract_z
Nd1 0.0000 0.0000 0.0000
Nd2 0.3333 0.6667 0.1572
Te1 0.3333 0.6667 0.5797
I1 0.0000 0.0000 0.2500
# **Raw total energy**: -4.908 eV/atom
# **Fermi-level density of states**: 2.70 states/eV/f.u.

# PBE-GGA NdTe2I8, optimized geometry
data_NdTe2I8
_chemical_formula_sum 'Nd2 Te4 I16'
_cell_length_a 15.872
_cell_length_b 9.082
_cell_length_c 8.476
_cell_angle_alpha 90.00
_cell_angle_beta 112.73
_cell_angle_gamma 90.00
_space_group_name_H-M_alt 'C 1 2/m 1'
_space_group_IT_number 12
loop_
_space_group_symop_operation_xyz
'x,y,z'
'-x,-y,-z'
'-x,y,-z'
'x,-y,z'
'x+1/2,y+1/2,z'
'-x+1/2,-y+1/2,-z'
'-x+1/2,y+1/2,-z'
'x+1/2,-y+1/2,z'
loop_
_atom_site_label
_atom_site_fract_x
_atom_site_fract_y
_atom_site_fract_z
Nd1 0.000 0.000 0.000
Te1 0.140 0.000 0.551
I1 0.045 0.232 0.779
I2 0.197 0.500 0.180
I3 0.208 0.000 0.288
# **Raw total energy**: -2.564 eV/atom
# **Fermi-level density of states**: 8.10 states/eV/f.u.

# PBE-GGA Nd2Te2I, optimized geometry
data_Nd2Te2I
_chemical_formula_sum 'Nd4 Te4 I2'
_cell_length_a 4.488
_cell_length_b 6.234
_cell_length_c 13.571
_cell_angle_alpha 90.00
_cell_angle_beta 90.00
_cell_angle_gamma 90.00
_space_group_name_H-M_alt 'I m m m'
_space_group_IT_number 71
_space_group_name_Hall '-I 2 2'
loop_
_atom_site_label
_atom_site_fract_x
_atom_site_fract_y
_atom_site_fract_z
Nd1 0.000 0.000 0.181
Te1 0.000 0.500 0.158
I1 0.000 0.500 0.500
# **Raw total energy**: -4.830 eV/atom
# **Fermi-level density of states**: 2.53 states/eV/f.u.
# **Distance to the lowest polymorph of the same formula**: 60 meV/atom

# PBE-GGA Nd5Te4I, optimized geometry
data_Nd5Te4I
_chemical_formula_sum 'Nd15 Te12 I3'
_cell_length_a 4.5028
_cell_length_b 4.5028
_cell_length_c 55.4051
_cell_angle_alpha 90.00
_cell_angle_beta 90.00
_cell_angle_gamma 120.00
_space_group_name_H-M_alt 'R -3 m'
_space_group_IT_number 166
_space_group_name_Hall '-R 3 2"'
loop_
_atom_site_label
_atom_site_fract_x
_atom_site_fract_y
_atom_site_fract_z
Nd1 0.0000 0.0000 0.0000
Nd2 0.0000 0.0000 0.2036
Nd3 0.0000 0.0000 0.4002
Te1 0.0000 0.0000 0.0990
Te2 0.0000 0.0000 0.3001
I1 0.0000 0.0000 0.5000
# **Raw total energy**: -5.075 eV/atom
# **Fermi-level density of states**: 6.94 states/eV/f.u.
# **Distance to the lowest polymorph of the same formula**: 0 meV/atom

# PBE-GGA Nd7TeI12, optimized geometry
data_Nd7TeI12
_chemical_formula_sum 'Nd21 Te3 I36'
_cell_length_a 16.2596
_cell_length_b 16.2596
_cell_length_c 10.7080
_cell_angle_alpha 90.00
_cell_angle_beta 90.00
_cell_angle_gamma 120.00
_space_group_name_H-M_alt 'R -3'
_space_group_IT_number 148
_space_group_name_Hall '-R 3'
loop_
_atom_site_label
_atom_site_fract_x
_atom_site_fract_y
_atom_site_fract_z
Nd1 0.0000 0.0000 0.0000
Nd2 0.0468 0.8813 0.3381
Te1 0.0000 0.0000 0.5000
I1 0.0247 0.4373 0.1645
I2 0.0524 0.8658 0.8420
# **Raw total energy**: -4.073 eV/atom
# **Fermi-level density of states**: 4.59 states/eV/f.u.

# PBE-GGA Nd2Te2I, optimized geometry
data_Nd2Te2I
_chemical_formula_sum 'Nd4 Te4 I2'
_cell_length_a 4.486
_cell_length_b 4.486
_cell_length_c 18.749
_cell_angle_alpha 90.00
_cell_angle_beta 90.00
_cell_angle_gamma 90.00
_space_group_name_H-M_alt 'I 4/m m m'
_space_group_IT_number 139
_space_group_name_Hall '-I 4 2'
loop_
_atom_site_label
_atom_site_fract_x
_atom_site_fract_y
_atom_site_fract_z
Nd1 0.000 0.000 0.166
Te1 0.000 0.000 0.338
I1 0.000 0.000 0.000
# **Raw total energy**: -4.890 eV/atom
# **Fermi-level density of states**: 1.87 states/eV/f.u.
# **Distance to the lowest polymorph of the same formula**: 0 meV/atom

# PBE-GGA Nd5Te4I, optimized geometry
data_Nd5Te4I
_chemical_formula_sum 'Nd10 Te8 I2'
_cell_length_a 4.482
_cell_length_b 4.482
_cell_length_c 32.239
_cell_angle_alpha 90.00
_cell_angle_beta 90.00
_cell_angle_gamma 90.00
_space_group_name_H-M_alt 'I 4/m m m'
_space_group_IT_number 139
_space_group_name_Hall '-I 4 2'
loop_
_atom_site_label
_atom_site_fract_x
_atom_site_fract_y
_atom_site_fract_z
Nd1 0.000 0.000 0.000
Nd2 0.000 0.000 0.193
Nd3 0.000 0.000 0.394
Te1 0.000 0.000 0.097
Te2 0.000 0.000 0.295
I1 0.000 0.000 0.500
# **Raw total energy**: -5.070 eV/atom
# **Fermi-level density of states**: 7.20 states/eV/f.u.
# **Distance to the lowest polymorph of the same formula**: 6 meV/atom

Copy entry 2 word for word.
# PBE-GGA Nd4Te3I4, optimized geometry
data_Nd4Te3I4
_chemical_formula_sum 'Nd8 Te6 I8'
_cell_length_a 4.048
_cell_length_b 9.380
_cell_length_c 19.233
_cell_angle_alpha 90.00
_cell_angle_beta 90.00
_cell_angle_gamma 90.00
_space_group_name_H-M_alt 'I m m m'
_space_group_IT_number 71
_space_group_name_Hall '-I 2 2'
loop_
_atom_site_label
_atom_site_fract_x
_atom_site_fract_y
_atom_site_fract_z
Nd1 0.000 0.000 0.229
Nd2 0.000 0.225 0.000
Te1 0.000 0.000 0.500
Te2 0.000 0.500 0.409
I1 0.000 0.314 0.169
# **Raw total energy**: -4.448 eV/atom
# **Fermi-level density of states**: 2.80 states/eV/f.u.

> The highest raw total energy belongs to which entry?

NdTe2I8

> The highest Fermi-level density of states belongs to which entry?

Nd4Te2I5